1.
Here is crystalline ThReTc2N6 at its relaxed geometry from the Alexandria database. Energies are from PBE-GGA.

a b c (Å): 5.388 5.392 5.624
angles (deg): 90.06 118.42 119.86
Fractional positions:
1 Th 0.000 0.000 0.000
2 Re 0.949 0.475 0.420
3 Tc 0.524 0.263 0.785
4 Tc 0.528 0.765 0.291
5 N 0.039 0.452 0.089
6 N 0.054 0.188 0.561
7 N 0.373 0.865 0.562
8 N 0.504 0.053 0.089
9 N 0.638 0.586 0.089
10 N 0.701 0.511 0.563

Values from the calculation:
formation energy (no corrections): -2.23 eV/f.u.
space group: No. 1
size of the total moment: 0.0 μB per formula unit

***

2.
Here is crystalline Th2ReTcN6 at its relaxed geometry from the Alexandria database. Energies are from PBE-GGA.

a b c (Å): 5.552 5.717 9.604
angles (deg): 90.00 125.24 90.00
Fractional positions:
1 Th 0.242 0.050 0.250
2 Th 0.242 0.450 0.750
3 Th 0.758 0.550 0.250
4 Th 0.758 0.950 0.750
5 Re 0.000 0.000 0.500
6 Re 0.000 0.500 0.000
7 Tc 0.500 0.000 0.000
8 Tc 0.500 0.500 0.500
9 N 0.156 0.207 0.958
10 N 0.156 0.293 0.458
11 N 0.257 0.701 0.959
12 N 0.257 0.799 0.459
13 N 0.323 0.016 0.748
14 N 0.323 0.484 0.248
15 N 0.677 0.516 0.752
16 N 0.677 0.984 0.252
17 N 0.743 0.201 0.541
18 N 0.743 0.299 0.041
19 N 0.844 0.707 0.542
20 N 0.844 0.793 0.042

Values from the calculation:
formation energy (no corrections): -8.21 eV/f.u.
space group: No. 14
size of the total moment: 0.5 μB per formula unit

***

3.
Here is crystalline TiReTc2N at its relaxed geometry from the Alexandria database. Energies are from PBE-GGA.

a b c (Å): 4.034 4.034 4.068
angles (deg): 90.00 90.00 90.00
Fractional positions:
1 Ti 0.000 0.000 0.000
2 Re 0.500 0.500 0.000
3 Tc 0.000 0.500 0.500
4 Tc 0.500 0.000 0.500
5 N 0.000 0.000 0.500

Values from the calculation:
formation energy (no corrections): -1.16 eV/f.u.
space group: No. 123
size of the total moment: 0.0 μB per formula unit

***

4.
Here is crystalline TiReTcN2 at its relaxed geometry from the Alexandria database. Energies are from PBE-GGA.

a b c (Å): 3.792 3.792 5.238
angles (deg): 90.00 90.00 90.00
Fractional positions:
1 Ti 0.000 0.000 0.000
2 Re 0.500 0.500 0.500
3 Tc 0.500 0.500 0.000
4 N 0.000 0.500 0.500
5 N 0.500 0.000 0.500

Values from the calculation:
formation energy (no corrections): 4.07 eV/f.u.
space group: No. 123
size of the total moment: 0.0 μB per formula unit

***

5.
Here is crystalline ReTc2WN at its relaxed geometry from the Alexandria database. Energies are from PBE-GGA.

a b c (Å): 4.042 4.042 4.098
angles (deg): 90.00 90.00 90.00
Fractional positions:
1 Re 0.000 0.000 0.000
2 Tc 0.000 0.500 0.500
3 Tc 0.500 0.000 0.500
4 W 0.500 0.500 0.000
5 N 0.500 0.500 0.500

Values from the calculation:
formation energy (no corrections): 0.27 eV/f.u.
space group: No. 123
size of the total moment: 0.0 μB per formula unit

***

6.
Here is crystalline Y2ReTcN6 at its relaxed geometry from the Alexandria database. Energies are from PBE-GGA.

a b c (Å): 5.385 5.621 9.444
angles (deg): 90.00 124.78 90.00
Fractional positions:
1 Y 0.240 0.064 0.250
2 Y 0.240 0.436 0.750
3 Y 0.760 0.564 0.250
4 Y 0.760 0.936 0.750
5 Re 0.000 0.000 0.500
6 Re 0.000 0.500 0.000
7 Tc 0.500 0.000 0.000
8 Tc 0.500 0.500 0.500
9 N 0.153 0.202 0.956
10 N 0.153 0.298 0.456
11 N 0.258 0.699 0.957
12 N 0.258 0.801 0.457
13 N 0.333 0.019 0.749
14 N 0.333 0.481 0.249
15 N 0.667 0.519 0.751
16 N 0.667 0.981 0.251
17 N 0.742 0.199 0.543
18 N 0.742 0.301 0.043
19 N 0.847 0.702 0.544
20 N 0.847 0.798 0.044

Values from the calculation:
formation energy (no corrections): -6.06 eV/f.u.
space group: No. 14
size of the total moment: 0.0 μB per formula unit

***

Which of these has the lowest formation energy (no corrections)? Th2ReTcN6

***

Number 4 is which compound? TiReTcN2

***

Which of these has the highest size of the total moment? Th2ReTcN6

***

Look up the size of the total moment of the sixth one. 0.0 μB per formula unit